Entry 1:
The following is a PBE-GGA calculation of a geometry-optimized AlCr3 structure, from the Alexandria database.

```
data_AlCr3
_chemical_formula_sum 'Al4 Cr12'
_space_group_name_H-M_alt 'C m c m'
_space_group_IT_number 63
_space_group_name_Hall '-C 2c 2'
_cell_length_a 5.920
_cell_length_b 8.423
_cell_length_c 4.149
_cell_angle_alpha 90.00
_cell_angle_beta 90.00
_cell_angle_gamma 90.00
loop_
_atom_site_label
_atom_site_fract_x
_atom_site_fract_y
_atom_site_fract_z
Al1 0.000 0.128 0.250
Cr1 0.000 0.369 0.750
Cr2 0.240 0.379 0.250
```

Computed properties:
As for the formation energy: -0.045 eV/atom. The density of states at the Fermi level is 1.3 states/eV/f.u. The value obtained for the total magnetization is 0.723 μB/atom.


Entry 2:
The following is a PBE-GGA calculation of a geometry-optimized BeOsW2 structure, from the Alexandria database.

```
data_BeOsW2
_chemical_formula_sum 'Be2 Os2 W4'
_space_group_name_H-M_alt 'C m m 2'
_space_group_IT_number 35
_space_group_name_Hall 'C 2 -2'
_cell_length_a 3.156
_cell_length_b 4.436
_cell_length_c 8.036
_cell_angle_alpha 90.00
_cell_angle_beta 90.00
_cell_angle_gamma 90.00
loop_
_atom_site_label
_atom_site_fract_x
_atom_site_fract_y
_atom_site_fract_z
Be1 0.000 0.000 0.000
Os1 0.000 0.500 0.215
W1 0.000 0.000 0.487
W2 0.000 0.500 0.768
```

Computed properties:
As for the formation energy: 0.210 eV/atom. The density of states at the Fermi level is 3.2 states/eV/f.u. The value obtained for the total magnetization is 0.059 μB/atom.